1.
Crystalline Hf4ZrCd2 at its relaxed geometry. Source: Alexandria, functional GGA-PBE.

abc: 3.172 4.577 10.991
angles: 102.02 90.00 90.00
Positions (direct):
Hf 0.500 0.072 0.143
Hf 0.000 0.355 0.709
Hf 0.500 0.928 0.857
Hf 0.000 0.645 0.291
Zr 0.000 0.500 0.000
Cd 0.500 0.212 0.425
Cd 0.500 0.788 0.575

## Properties
DFT formation energy in meV per atom: 30
Space group: Cmmm, No. 65

***

2.
Crystalline Ni2RhPb2 at its relaxed geometry. Source: Alexandria, functional GGA-PBE.

abc: 7.099 7.099 3.420
angles: 90.00 90.00 90.00
Positions (direct):
Pb 0.179 0.679 0.500
Pb 0.679 0.821 0.500
Pb 0.821 0.321 0.500
Pb 0.321 0.179 0.500
Ni 0.378 0.878 0.000
Ni 0.878 0.622 0.000
Ni 0.622 0.122 0.000
Ni 0.122 0.378 0.000
Rh 0.000 0.000 0.000
Rh 0.500 0.500 0.000

## Properties
DFT formation energy in meV per atom: 235
Space group: P4/mbm, No. 127

***

3.
Crystalline Sr3TlPd8 at its relaxed geometry. Source: Alexandria, functional GGA-PBE.

abc: 5.556 5.556 9.649
angles: 73.27 73.27 60.00
Positions (direct):
Sr 0.376 0.376 0.872
Sr 0.995 0.995 0.014
Sr 0.504 0.504 0.489
Tl 0.874 0.874 0.379
Pd 0.937 0.437 0.189
Pd 0.440 0.937 0.685
Pd 0.437 0.437 0.189
Pd 0.937 0.937 0.685
Pd 0.188 0.188 0.436
Pd 0.688 0.688 0.937
Pd 0.437 0.937 0.189
Pd 0.937 0.440 0.685

## Properties
DFT formation energy in meV per atom: -550
Space group: R3m, No. 160

***

4.
Crystalline Dy3HoCo2 at its relaxed geometry. Source: Alexandria, functional GGA-PBE.

abc: 3.989 8.240 10.037
angles: 73.77 78.54 75.99
Positions (direct):
Dy 0.053 0.111 0.783
Dy 0.947 0.889 0.217
Dy 0.672 0.694 0.961
Dy 0.328 0.306 0.039
Dy 0.786 0.839 0.589
Dy 0.214 0.161 0.411
Ho 0.422 0.481 0.675
Ho 0.578 0.519 0.325
Co 0.865 0.413 0.856
Co 0.135 0.587 0.144
Co 0.616 0.183 0.585
Co 0.384 0.817 0.415

## Properties
DFT formation energy in meV per atom: -95
ΔE to the lowest computed polymorph in meV per atom: 65.9
Space group: C2/m, No. 12

***

5.
Crystalline Nb2GaFe at its relaxed geometry. Source: Alexandria, functional GGA-PBE.

abc: 3.818 4.057 4.057
angles: 90.00 90.00 90.00
Positions (direct):
Nb 0.000 0.000 0.500
Nb 0.000 0.500 0.000
Fe 0.500 0.000 0.000
Ga 0.500 0.500 0.500

## Properties
DFT formation energy in meV per atom: -133
Space group: P4/mmm, No. 123

***

6.
Crystalline MgMo2Cl at its relaxed geometry. Source: Alexandria, functional GGA-PBE.

abc: 6.452 3.558 3.558
angles: 90.00 90.00 90.00
Positions (direct):
Cl 0.500 0.500 0.000
Mg 0.500 0.000 0.500
Mo 0.000 0.000 0.000
Mo 0.000 0.500 0.500

## Properties
ΔE to the lowest computed polymorph in meV per atom: 617.4
Energy relative to the elements, uncorrected in meV/atom: 581
Space group: P4/mmm, No. 123

***

7.
Crystalline Nd6HgTe3Ir2 at its relaxed geometry. Source: Alexandria, functional GGA-PBE.

abc: 4.273 9.169 9.935
angles: 105.34 102.42 90.00
Positions (direct):
Nd 0.328 0.875 0.655
Nd 0.677 0.565 0.355
Nd 0.672 0.125 0.345
Nd 0.019 0.262 0.038
Nd 0.981 0.738 0.962
Nd 0.323 0.435 0.645
Hg 0.500 0.000 0.000
Te 0.500 0.500 0.000
Te 0.842 0.161 0.683
Te 0.158 0.839 0.317
Ir 0.831 0.662 0.661
Ir 0.169 0.338 0.339

## Properties
Energy relative to the elements, uncorrected in meV/atom: -976
Space group: C2/m, No. 12

***

8.
Crystalline Fe5CuPd6 at its relaxed geometry. Source: Alexandria, functional GGA-PBE.

abc: 3.882 7.158 7.158
angles: 108.43 105.71 105.71
Positions (direct):
Pd 0.248 0.081 0.415
Pd 0.752 0.585 0.919
Pd 0.746 0.247 0.247
Pd 0.254 0.753 0.753
Pd 0.248 0.415 0.081
Pd 0.752 0.919 0.585
Fe 0.500 0.172 0.828
Fe 0.000 0.336 0.664
Fe 0.500 0.500 0.500
Fe 0.000 0.664 0.336
Fe 0.500 0.828 0.172
Cu 0.000 0.000 0.000

## Properties
DFT formation energy in meV per atom: -61
Space group: Immm, No. 71

***

Results for total moment: 0.00; 0.00; 0.00; 0.00; 1.70; 0.00; 0.00; 17.13 (in μB/cell, following the order of the records).
Results for calculated volume: 156.1; 172.4; 243.3; 304.3; 62.8; 81.7; 366.0; 167.2 (in Å³ per cell, following the order of the records).
Results for N(E_F): 1.21; 1.35; 0.29; 0.81; 0.88; 0.70; 0.62; 0.74 (in states/eV per atom, following the order of the records).